# TlMoN2O | Alexandria via LeMat-Bulk | GGA+U | relaxed
# Calculated volume (Å³/atom): 15.7
# Calculated total energy (eV/atom): -4.52
data_TlMoN2O
_space_group_name_H-M_alt 'P 4/m m m'
_space_group_IT_number 123
_space_group_name_Hall '-P 4 2'
_cell_length_a 4.3309
_cell_length_b 4.3309
_cell_length_c 4.1923
_cell_angle_alpha 90.00
_cell_angle_beta 90.00
_cell_angle_gamma 90.00
loop_
_atom_site_label
_atom_site_type_symbol
_atom_site_fract_x
_atom_site_fract_y
_atom_site_fract_z
Tl1 Tl 0.0000 0.0000 0.0000
Mo1 Mo 0.5000 0.5000 0.5000
N1 N 0.0000 0.5000 0.0000
O1 O 0.0000 0.0000 0.5000